## CrRuRh (PBE)

Data for a relaxed structure of CrRuRh.

Uncorrected energy   -8.6746 eV/atom

Cell and atoms, written as CIF:
```
data_CrRuRh
_space_group_name_H-M_alt 'P -6 m 2'
_space_group_IT_number 187
_space_group_name_Hall 'P -6 2'
_cell_length_a 4.1648
_cell_length_b 4.1648
_cell_length_c 2.6917
_cell_angle_alpha 90.00
_cell_angle_beta 90.00
_cell_angle_gamma 120.00
loop_
_atom_site_label
_atom_site_type_symbol
_atom_site_fract_x
_atom_site_fract_y
_atom_site_fract_z
Cr1 Cr 0.0000 0.0000 0.0000
Ru1 Ru 0.6667 0.3333 0.0000
Rh1 Rh 0.3333 0.6667 0.5000
```

## CrRuRh (PBE)

Data for a relaxed structure of CrRuRh.

Uncorrected energy   -8.7122 eV/atom

Cell and atoms, written as CIF:
```
data_CrRuRh
_space_group_name_H-M_alt 'P 63/m m c'
_space_group_IT_number 194
_space_group_name_Hall '-P 6c 2c'
_cell_length_a 4.1991
_cell_length_b 4.1991
_cell_length_c 5.3243
_cell_angle_alpha 90.00
_cell_angle_beta 90.00
_cell_angle_gamma 120.00
loop_
_atom_site_label
_atom_site_type_symbol
_atom_site_fract_x
_atom_site_fract_y
_atom_site_fract_z
Cr1 Cr 0.3333 0.6667 0.2500
Ru1 Ru 0.3333 0.6667 0.7500
Rh1 Rh 0.0000 0.0000 0.0000
```

## CrRu2Rh (PBE)

Data for a relaxed structure of CrRu2Rh.

Uncorrected energy   -8.8253 eV/atom

Cell and atoms, written as CIF:
```
data_CrRu2Rh
_space_group_name_H-M_alt 'P 4 m m'
_space_group_IT_number 99
_space_group_name_Hall 'P 4 -2'
_cell_length_a 2.680
_cell_length_b 2.680
_cell_length_c 7.512
_cell_angle_alpha 90.00
_cell_angle_beta 90.00
_cell_angle_gamma 90.00
loop_
_atom_site_label
_atom_site_type_symbol
_atom_site_fract_x
_atom_site_fract_y
_atom_site_fract_z
Cr1 Cr 0.000 0.000 0.000
Ru1 Ru 0.000 0.000 0.505
Ru2 Ru 0.500 0.500 0.758
Rh1 Rh 0.500 0.500 0.238
```

## CrRu3Rh (PBE)

Data for a relaxed structure of CrRu3Rh.

Uncorrected energy   -7.6395 eV/atom

Cell and atoms, written as CIF:
```
data_CrRu3Rh
_space_group_name_H-M_alt 'P m -3 m'
_space_group_IT_number 221
_space_group_name_Hall '-P 4 2 3'
_cell_length_a 4.361
_cell_length_b 4.361
_cell_length_c 4.361
_cell_angle_alpha 90.00
_cell_angle_beta 90.00
_cell_angle_gamma 90.00
loop_
_atom_site_label
_atom_site_type_symbol
_atom_site_fract_x
_atom_site_fract_y
_atom_site_fract_z
Cr1 Cr 0.000 0.000 0.000
Ru1 Ru 0.000 0.000 0.500
Rh1 Rh 0.500 0.500 0.500
```

no.,energy relative to the elements (meV per atom)
1,75.7
2,38.0
3,56.4
4,1320.9